Entry 1:
The following is a DFT calculation (PBE) of MgNiTe2 after structural relaxation.

```
MgNiTe2
1.0
3.811 0.016 0.000
-1.875 3.317 0.000
0.000 0.000 7.730
Mg Ni Te
1 1 2
direct
0.500 0.500 0.250 Mg
0.500 0.500 0.750 Ni
0.000 0.000 0.969 Te
0.000 0.000 0.531 Te
```



Entry 2:
The following is a DFT calculation (PBE) of MgNiTe2 after structural relaxation.

```
MgNiTe2
1.0
4.005 0.000 0.000
0.000 6.900 0.029
0.000 4.597 3.275
Mg Ni Te
1 1 2
direct
0.500 0.500 0.500 Mg
0.000 0.000 0.500 Ni
0.000 0.000 0.000 Te
0.500 0.500 0.000 Te
```



Entry 3:
The following is a DFT calculation (PBE) of MgNiTe4 after structural relaxation.

```
MgNiTe4
1.0
3.288 3.110 4.373
-1.339 -0.792 6.098
4.009 -3.108 3.724
Mg Ni Te
1 1 4
direct
0.750 0.750 0.750 Mg
0.000 0.000 0.000 Ni
0.876 0.375 0.375 Te
0.375 0.375 0.876 Te
0.375 0.876 0.375 Te
0.375 0.375 0.375 Te
```



Entry 4:
The following is a DFT calculation (PBE) of MgNiTe2 after structural relaxation.

```
MgNiTe2
1.0
-1.296 -1.443 -6.723
-0.027 -6.119 -3.393
-2.261 3.904 5.348
Mg Ni Te
1 1 2
direct
0.250 0.750 0.500 Mg
0.750 0.250 0.500 Ni
0.888 0.888 0.000 Te
0.612 0.612 0.000 Te
```



Entry 5:
The following is a DFT calculation (PBE) of MgNiTe2 after structural relaxation.

```
MgNiTe2
1.0
-1.147 -0.368 6.055
-3.107 -5.257 -0.908
2.951 -5.947 3.345
Ni Mg Te
2 2 4
direct
0.000 0.000 0.000 Ni
0.750 0.250 0.500 Ni
0.500 0.500 0.000 Mg
0.250 0.750 0.500 Mg
0.672 0.125 0.250 Te
0.078 0.625 0.250 Te
0.375 0.328 0.750 Te
0.875 0.922 0.750 Te
```



Entry 6:
The following is a DFT calculation (PBE) of MgNiTe2 after structural relaxation.

```
MgNiTe2
1.0
0.000 3.506 3.506
3.506 0.000 3.506
3.506 3.506 0.000
Ni Mg Te
1 1 2
direct
0.500 0.500 0.500 Ni
0.000 0.000 0.000 Mg
0.250 0.250 0.250 Te
0.750 0.750 0.750 Te
```



Entry 7:
The following is a DFT calculation (PBE) of Mg2NiTe after structural relaxation.

```
Mg2NiTe
1.0
-1.199 -1.652 -3.967
0.716 -3.675 6.451
-3.008 -1.746 1.647
Mg Ni Te
2 1 1
direct
0.000 0.000 0.000 Mg
0.000 0.500 0.500 Mg
0.500 0.500 0.000 Ni
0.500 0.000 0.500 Te
```



Entry 8:
The following is a DFT calculation (PBE) of MgNiTe2 after structural relaxation.

```
MgNiTe2
1.0
4.794 -0.544 0.255
3.630 3.178 0.255
1.218 0.381 5.672
Mg Ni Te
1 1 2
direct
0.375 0.375 0.750 Mg
0.374 0.374 0.249 Ni
0.024 0.024 0.013 Te
0.726 0.726 0.488 Te
```



Entry 9:
The following is a DFT calculation (PBE) of Mg2NiTe after structural relaxation.

```
Mg2NiTe
1.0
3.983 0.000 0.000
0.000 3.918 0.005
0.000 1.963 5.234
Mg Ni Te
2 1 1
direct
0.000 0.956 0.962 Mg
0.500 0.276 0.324 Mg
0.000 0.708 0.457 Ni
0.500 0.559 0.757 Te
```



Entry 10:
The following is a DFT calculation (PBE) of Mg2NiTe after structural relaxation.

```
Mg2NiTe
1.0
-0.641 8.261 2.059
-3.899 7.434 1.562
-2.424 6.802 4.557
Mg Ni Te
2 1 1
direct
0.985 0.985 0.985 Mg
0.515 0.515 0.515 Mg
0.250 0.250 0.250 Ni
0.750 0.750 0.750 Te
```



Entry 11:
The following is a DFT calculation (PBE) of Mg4NiTe after structural relaxation.

```
Mg4NiTe
1.0
1.786 -1.369 5.220
-3.561 -2.500 3.658
0.742 -5.456 1.410
Mg Ni Te
4 1 1
direct
0.874 0.375 0.375 Mg
0.375 0.375 0.874 Mg
0.375 0.874 0.375 Mg
0.375 0.375 0.375 Mg
0.750 0.750 0.750 Ni
0.000 0.000 0.000 Te
```



Entry 12:
The following is a DFT calculation (PBE) of MgNiTe2 after structural relaxation.

```
MgNiTe2
1.0
4.747 0.000 0.000
0.000 4.606 0.082
0.000 1.377 4.388
Mg Ni Te
1 1 2
direct
0.000 0.528 0.530 Mg
0.500 0.744 0.743 Ni
0.000 0.900 0.900 Te
0.500 0.327 0.327 Te
```



Summary of spin magnetization in μB/f.u.
0.000 0.000 0.811 0.000 0.000 0.000 0.000 0.000 0.000 0.000 0.000 0.000
(order as listed above)
Summary of energy relative to the elements, uncorrected in eV/atom
0.00 -0.29 0.72 -0.36 -0.32 0.12 -0.12 -0.38 -0.25 0.02 0.26 -0.25
(order as listed above)
Summary of energy in eV per atom
-3.415 -3.704 -2.606 -3.771 -3.735 -3.290 -3.152 -3.792 -3.281 -3.006 -2.291 -3.662
(order as listed above)